# 1
DFT (PBE) results for NaAcGdMg after structural relaxation.

Cell lengths 8.1399, 8.1399, 8.1399 Å; angles 90.00, 90.00, 90.00 degrees
Space group F-43m (No. 216)
One atom of each set of equivalent atoms:
1 Na 0.0000 0.0000 0.0000 [4 per cell]
2 Ac 0.2500 0.2500 0.2500 [4 per cell]
3 Gd 0.2500 0.2500 0.7500 [4 per cell]
4 Mg 0.0000 0.0000 0.5000 [4 per cell]

Calculated values
- spin magnetization (μB per cell) = 32.36
- electronic total energy (eV/atom) = -5.147

# 2
DFT (PBE) results for AcNdGdMg after structural relaxation.

Cell lengths 8.1550, 8.1550, 8.1550 Å; angles 90.00, 90.00, 90.00 degrees
Space group F-43m (No. 216)
One atom of each set of equivalent atoms:
1 Ac 0.0000 0.0000 0.0000 [4 per cell]
2 Nd 0.2500 0.2500 0.2500 [4 per cell]
3 Gd 0.2500 0.2500 0.7500 [4 per cell]
4 Mg 0.0000 0.0000 0.5000 [4 per cell]

Calculated values
- spin magnetization (μB per cell) = 31.38
- electronic total energy (eV/atom) = -6.041

# 3
DFT (PBE) results for AcPmGdMg after structural relaxation.

Cell lengths 8.1351, 8.1351, 8.1351 Å; angles 90.00, 90.00, 90.00 degrees
Space group F-43m (No. 216)
One atom of each set of equivalent atoms:
1 Ac 0.0000 0.0000 0.0000 [4 per cell]
2 Pm 0.2500 0.2500 0.7500 [4 per cell]
3 Gd 0.2500 0.2500 0.2500 [4 per cell]
4 Mg 0.0000 0.0000 0.5000 [4 per cell]

Calculated values
- spin magnetization (μB per cell) = 31.50
- electronic total energy (eV/atom) = -6.033